{
  "formula": "Pr2Sm5DyY",
  "functional": "PBE",
  "state": "optimized geometry",
  "sg": "I4/mcm, No. 140",
  "n_ef_per_ev_cell": 26.93,
  "formation_energy_ev_per_atom": 0.268,
  "cell": [[-7.991, -3.136, -1.258], [2.230, -2.468, -8.013], [5.279, -4.476, 7.544]],
  "species": ["Pr", "Pr", "Pr", "Pr", "Sm", "Sm", "Sm", "Sm", "Sm", "Sm", "Sm", "Sm", "Sm", "Sm", "Y", "Y", "Dy", "Dy"],
  "fractional_positions": [[0.380, 0.880, 0.000], [0.880, 0.620, 0.000], [0.620, 0.120, 0.000], [0.120, 0.380, 0.000], [0.141, 0.074, 0.715], [0.000, 0.000, 0.000], [0.926, 0.426, 0.285], [0.500, 0.500, 0.000], [0.359, 0.859, 0.285], [0.859, 0.926, 0.285], [0.641, 0.141, 0.715], [0.074, 0.574, 0.715], [0.426, 0.359, 0.285], [0.574, 0.641, 0.715], [0.750, 0.250, 0.500], [0.250, 0.750, 0.500], [0.750, 0.750, 0.500], [0.250, 0.250, 0.500]]
}